An optimized crystal structure of NaAgBiTe3, computed with PBE.

Properties
The calculation puts the density of states at the Fermi level at 0.4781 states/eV/atom. The calculated volume is 382.9 Å³ per cell. The uncorrected energy comes out at -19.06 eV per formula unit. The mass density is 6.27 g/cm3. The raw formation energy is -264 meV per atom.

Unit cell a=9.653 b=4.319 c=10.050 alpha=90.00 beta=113.97 gamma=90.00
Space group P2_1/m (No. 11)
Inequivalent atoms, fractional coordinates:
Na  0.178  0.250  0.137 (multiplicity 2)
Ag  0.407  0.750  0.412 (multiplicity 2)
Bi  0.288  0.750  0.810 (multiplicity 2)
Te  0.055  0.250  0.791 (multiplicity 2)
Te  0.263  0.250  0.481 (multiplicity 2)
Te  0.438  0.750  0.139 (multiplicity 2)